## NiIrSe2 (PBE-GGA)

Data for crystalline NiIrSe2 at its relaxed geometry.

Calculated values
calculated density: 9.96 g cm⁻³
spin magnetization: 0.00 μB per atom
SG: No. 12
formation energy (no corrections): 120 kJ/mol of formula units

Cell: 4.486 4.486 4.459 Å, 67.57 67.57 104.21°
Fractional positions:
Ir 0.500 0.000 0.500
Ni 0.000 0.500 0.500
Se 0.000 0.000 0.000
Se 0.500 0.500 0.000



## PuPaTa2 (PBE-GGA)

Data for crystalline PuPaTa2 at its relaxed geometry.

Calculated values
calculated density: 16.12 g cm⁻³
energy above the lowest structure with this stoichiometry: 93.7 meV per atom
spin magnetization: 1.26 μB per atom
SG: No. 166
formation energy from the elements: 419 meV/atom

Cell: 4.951 4.951 4.966 Å, 60.10 60.10 60.00°
Each line ends with the local moment (μB).
Fractional positions:
Pa 0.000 0.000 0.000  -0.21
Ta 0.751 0.751 0.748  -0.01
Ta 0.249 0.249 0.252  -0.01
Pu 0.500 0.500 0.500  5.02



## Sm4CdHg2Pt (PBE-GGA)

Data for crystalline Sm4CdHg2Pt at its relaxed geometry.

Calculated values
calculated density: 10.43 g cm⁻³
spin magnetization: 0.00 μB per atom
SG: No. 166
formation energy from the elements: -609 meV/atom

Cell: 5.292 5.292 9.125 Å, 73.14 73.14 60.00°
Fractional positions:
Sm 0.385 0.385 0.845
Sm 0.868 0.868 0.395
Sm 0.132 0.132 0.605
Sm 0.615 0.615 0.155
Cd 0.000 0.000 0.000
Hg 0.739 0.739 0.784
Hg 0.261 0.261 0.216
Pt 0.500 0.500 0.500



## Ba3Mo (PBE-GGA)

Data for crystalline Ba3Mo at its relaxed geometry.

Calculated values
calculated density: 4.55 g cm⁻³
energy above the lowest structure with this stoichiometry: 0.0 meV per atom
spin magnetization: 0.66 μB per atom
SG: No. 62
formation energy from the elements: 766 meV/atom

Cell: 7.417 9.100 10.992 Å, 90.00 90.00 90.00°
Each line ends with the local moment (μB).
Fractional positions:
Mo 0.543 0.874 0.750  2.56
Mo 0.043 0.626 0.250  2.56
Mo 0.957 0.374 0.750  2.56
Mo 0.457 0.126 0.250  2.56
Ba 0.132 0.038 0.750  -0.04
Ba 0.632 0.462 0.250  -0.04
Ba 0.368 0.538 0.750  -0.04
Ba 0.868 0.962 0.250  -0.04
Ba 0.653 0.169 0.934  -0.04
Ba 0.153 0.331 0.066  -0.04
Ba 0.847 0.669 0.566  -0.04
Ba 0.347 0.831 0.434  -0.04
Ba 0.347 0.831 0.066  -0.04
Ba 0.847 0.669 0.934  -0.04
Ba 0.153 0.331 0.434  -0.04
Ba 0.653 0.169 0.566  -0.04



## SiNiBAsAuC (PBE-GGA)

Data for crystalline SiNiBAsAuC at its relaxed geometry.

Calculated values
calculated density: 7.06 g cm⁻³
energy above the lowest structure with this stoichiometry: 140.4 meV per atom
spin magnetization: 0.00 μB per atom
SG: No. 1
formation energy (no corrections): 256 kJ/mol of formula units

Cell: 3.550 4.851 5.392 Å, 98.04 91.33 102.14°
Fractional positions:
Ni 0.812 0.247 0.825
C 0.393 0.464 0.809
B 0.153 0.545 0.604
Si 0.733 0.769 0.649
As 0.284 0.063 0.044
Au 0.349 0.587 0.227



## BeIrBr (PBE-GGA)

Data for crystalline BeIrBr at its relaxed geometry.

Calculated values
calculated density: 8.41 g cm⁻³
energy above the lowest structure with this stoichiometry: 1017.1 meV per atom
spin magnetization: 0.14 μB per atom
SG: No. 129
formation energy (no corrections): 207 kJ/mol of formula units

Cell: 4.104 4.104 6.589 Å, 90.00 90.00 90.00°
Each line ends with the local moment (μB).
Fractional positions:
Be 0.000 0.500 0.688  -0.01
Be 0.500 0.000 0.312  -0.01
Ir 0.000 0.500 0.009  0.41
Ir 0.500 0.000 0.991  0.42
Br 0.000 0.000 0.500  0.00
Br 0.500 0.500 0.500  0.00



Repeat the second record exactly.
## PuPaTa2 (PBE-GGA)

Data for crystalline PuPaTa2 at its relaxed geometry.

Calculated values
calculated density: 16.12 g cm⁻³
energy above the lowest structure with this stoichiometry: 93.7 meV per atom
spin magnetization: 1.26 μB per atom
SG: No. 166
formation energy from the elements: 419 meV/atom

Cell: 4.951 4.951 4.966 Å, 60.10 60.10 60.00°
Each line ends with the local moment (μB).
Fractional positions:
Pa 0.000 0.000 0.000  -0.21
Ta 0.751 0.751 0.748  -0.01
Ta 0.249 0.249 0.252  -0.01
Pu 0.500 0.500 0.500  5.02



Which value of spin magnetization does entry 3 give?
0.00 μB per atom